Compound: MnHSe2
Source: Alexandria via LeMat-Bulk
Functional: GGA-PBE
Structure: relaxed

Results
- Crystal system: tetragonal
- ΔE to the lowest computed polymorph: 0.618 eV per atom
- Uncorrected energy: -4.4873 eV/atom

a b c (Å): 6.5527 6.5527 6.5527
angles (deg): 99.99 99.99 130.78
Closest atoms and distances in Å follow each position.
Element x y z (fractional)
Mn  0.2500  0.7500  0.5000  4 Se 2.24
Mn  0.7500  0.2500  0.5000  4 Se 2.24
H  0.2500  0.2500  0.0000  2 H 2.73
H  0.7500  0.7500  0.0000  2 H 2.73
Se  0.1493  0.6493  0.7987  2 Mn 2.24
Se  0.3507  0.1493  0.5000  2 Mn 2.24
Se  0.6493  0.8507  0.5000  2 Mn 2.24
Se  0.8507  0.3507  0.2013  2 Mn 2.24